Version 1
The following is a GGA-PBE calculation of a relaxed structure of BC2, from Alexandria.

Properties
SG: No. 8

Lattice parameters (Å, degrees): 5.9460 5.9460 5.2965 102.70 102.70 25.25
Positions (direct):
B  0.0000  0.0000  0.0000
B  0.2372  0.2372  0.3237
B  0.3530  0.3530  0.7270
B  0.5914  0.5914  0.5487
C  0.2512  0.2512  0.8880
C  0.3414  0.3414  0.1688
C  0.5940  0.5940  0.0447
C  0.6657  0.6657  0.3233
C  0.6730  0.6730  0.8433
C  0.9179  0.9179  0.2176
C  0.9203  0.9203  0.6953
C  0.9932  0.9932  0.4949

Version 2
The following is a GGA-PBE calculation of a relaxed structure of BC2, from Alexandria.

Properties
SG: No. 6

Lattice parameters (Å, degrees): 4.5887 2.6047 6.4398 90.00 92.01 90.00
Positions (direct):
B  0.0000  0.0000  0.0000
B  0.0119  0.0000  0.6665
B  0.1775  0.5000  0.3806
B  0.6750  0.0000  0.3913
C  0.1937  0.5000  0.6339
C  0.3400  0.0000  0.2790
C  0.3481  0.0000  0.0436
C  0.5032  0.5000  0.9636
C  0.5093  0.5000  0.7209
C  0.6681  0.0000  0.6475
C  0.8190  0.5000  0.0543
C  0.8385  0.5000  0.2852

Result of the stability comparison: version 2 is the most stable of them.